Record 1
Density functional theory data (PBE) for a geometry-optimized LaScCu4 structure.

The value obtained for the offset from the most stable computed form is 120 meV/atom. The formation energy comes out at -0.1106 eV/atom.

The space group is F-43m (No. 216) and the conventional cell measures 7.432, 7.432 and 7.432 Å, with angles of 90.00, 90.00 and 90.00 degrees. Symmetry generates all atoms from La at (0.000, 0.000, 0.000), Sc at (0.250, 0.250, 0.750) and Cu at (0.123, 0.123, 0.377).

Record 2
Density functional theory data (PBE) for a geometry-optimized LaScCu17 structure.

The formation energy comes out at -0.0829 eV/atom.

The space group is R3m (No. 160, hexagonal axes) and the conventional cell measures 8.5365, 8.5365 and 12.5523 Å, with angles of 90.00, 90.00 and 120.00 degrees. Symmetry generates all atoms from La at (0.0000, 0.0000, 0.0000), Sc at (0.0000, 0.0000, 0.3185), Cu at (0.0000, 0.0000, 0.5555), Cu at (0.0000, 0.0000, 0.7510), Cu at (0.9996, 0.4998, 0.1573), Cu at (0.0387, 0.3682, 0.3240), Cu at (0.1695, 0.3390, 0.8376) and Cu at (0.1700, 0.3400, 0.1455).

Record 3
Density functional theory data (PBE) for a geometry-optimized La2ScCu structure.

The value obtained for the offset from the most stable computed form is 194 meV/atom. The formation energy comes out at 0.1361 eV/atom.

The space group is Fm-3m (No. 225) and the conventional cell measures 7.589, 7.589 and 7.589 Å, with angles of 90.00, 90.00 and 90.00 degrees. Symmetry generates all atoms from La at (0.250, 0.250, 0.250), Sc at (0.000, 0.000, 0.000) and Cu at (0.000, 0.000, 0.500).

Record 4
Density functional theory data (PBE) for a geometry-optimized La2ScCu structure.

The value obtained for the offset from the most stable computed form is 91 meV/atom. The formation energy comes out at 0.0334 eV/atom.

The space group is Pm (No. 6) and the conventional cell measures 3.682, 4.918 and 6.375 Å, with angles of 90.00, 106.57 and 90.00 degrees. Symmetry generates all atoms from La at (0.000, 0.000, 0.000), La at (0.311, 0.500, 0.625), Sc at (0.596, 0.500, 0.193) and Cu at (0.713, 0.000, 0.431).